{"formula": "Pu5H", "functional": "GGA-PBE", "state": "relaxed", "total_energy_ev_per_atom": -12.1737, "lattice": [[2.8518, -4.8472, 0.0000], [2.8518, 4.8472, 0.0000], [0.0000, 0.0000, 3.5581]], "species": ["Pu", "Pu", "Pu", "Pu", "Pu", "H"], "fractional_positions": [[0.0000, 0.0000, 0.0000], [0.1707, 0.8293, 0.5000], [0.3501, 0.6499, 0.0000], [0.6499, 0.3501, 0.0000], [0.8293, 0.1707, 0.5000], [0.5000, 0.5000, 0.5000]]}